First-principles (PBEsol) data for crystalline ZrCoIr at its relaxed geometry, as listed in Alexandria.

- calculated total energy (eV/atom) = -9.125
- magnetization (μB/f.u.) = 1.65
- energy of formation (eV/atom) = -0.241
- Fermi-level density of states (states/eV per cell) = 8.3

a b c (Å): 3.2411 3.2411 8.6979
angles (deg): 90.00 90.00 90.00
Last column: nearest neighbours and their distance in Å.
Space group I4mm (No. 107)
Asymmetric unit:
Zr 0.0000 0.0000 0.0000  5 Co 2.70-2.93, 5 Ir 2.73-2.86
Co 0.0000 0.0000 0.6636  5 Zr 2.70-2.93, 5 Ir 2.71-2.91
Ir 0.0000 0.0000 0.3292  5 Co 2.71-2.91, 5 Zr 2.73-2.86